VASP calculation (GGA-PBE) on a relaxed NaBeNb3 crystal.

* distance to the lowest polymorph of the same formula: 667 kJ/mol of formula units
* total DFT energy (no corrections): -23.689 eV/f.u.
* ΔE_f: 2313 meV per atom

Cell: 4.634 4.634 4.634 Å, 90.00 90.00 90.00°
Positions (direct):
Na: 0.000 0.000 0.000
Nb: 0.000 0.500 0.000
Nb: 0.000 0.000 0.500
Nb: 0.500 0.000 0.000
Be: 0.500 0.500 0.500